# SrZrNb2Ni

A relaxed SrZrNb2Ni crystal (GGA-PBE, Alexandria via LeMat-Bulk).

- total magnetic moment (Bohr magnetons per cell) = 0.000
- crystal system = tetragonal

Lattice parameters (Å, degrees): 4.7733 4.7733 5.2044 90.00 90.00 90.00
Space group P4/mmm (No. 123)
One atom of each set of equivalent atoms:
1 Sr 0.0000 0.0000 0.0000 [1 per cell]
2 Zr 0.5000 0.5000 0.0000 [1 per cell]
3 Nb 0.0000 0.5000 0.5000 [2 per cell]
4 Ni 0.0000 0.0000 0.5000 [1 per cell]

# TaNb2Ni

A relaxed TaNb2Ni crystal (GGA-PBE, Alexandria via LeMat-Bulk).

- total magnetic moment (Bohr magnetons per cell) = 0.000
- crystal system = tetragonal

Lattice parameters (Å, degrees): 7.3067 7.3067 5.2421 90.00 90.00 90.00
Space group I-42d (No. 122)
One atom of each set of equivalent atoms:
1 Ta 0.0000 0.0000 0.0000 [4 per cell]
2 Nb 0.2196 0.2500 0.6250 [8 per cell]
3 Ni 0.0000 0.0000 0.5000 [4 per cell]

# TaNbNi

A relaxed TaNbNi crystal (GGA-PBE, Alexandria via LeMat-Bulk).

- total magnetic moment (Bohr magnetons per cell) = 0.000
- crystal system = triclinic

Lattice parameters (Å, degrees): 2.7604 5.1502 6.9607 94.08 101.34 99.11
Space group P1 (No. 1)
One atom of each set of equivalent atoms:
1 Ta 0.0000 0.0000 0.0000 [1 per cell]
2 Ta 0.4858 0.7773 0.3576 [1 per cell]
3 Nb 0.9702 0.5595 0.7187 [1 per cell]
4 Nb 0.9844 0.2777 0.3623 [1 per cell]
5 Ni 0.4118 0.0606 0.6734 [1 per cell]
6 Ni 0.5595 0.4907 0.0476 [1 per cell]

# TaNbNi

A relaxed TaNbNi crystal (GGA-PBE, Alexandria via LeMat-Bulk).

- total magnetic moment (Bohr magnetons per cell) = 0.000
- crystal system = orthorhombic

Lattice parameters (Å, degrees): 4.8612 8.7576 8.9312 90.00 90.00 90.00
Space group Fmmm (No. 69)
One atom of each set of equivalent atoms:
1 Ta 0.0000 0.0000 0.1588 [8 per cell]
2 Nb 0.0000 0.1571 0.5000 [8 per cell]
3 Ni 0.2500 0.2500 0.2500 [8 per cell]

| no. | raw total energy (eV/atom) | energy of formation (kJ per mole of atoms) |
| --- | --- | --- |
| 1 | -6.33 | 87 |
| 2 | -9.06 | 37 |
| 3 | -9.28 | -4 |
| 4 | -9.44 | -20 |